A plane-wave DFT calculation with PBE was carried out for crystalline Y2CrPb at its relaxed geometry.

The space group is P4mm (No. 99) and the conventional cell measures 3.584, 3.584 and 8.307 Å, with angles of 90.00, 90.00 and 90.00 degrees. The asymmetric unit holds Y at (0.000, 0.000, 0.000), Y at (0.500, 0.500, 0.311), Cr at (0.000, 0.000, 0.542) and Pb at (0.500, 0.500, 0.732).

The calculation puts the total energy at -25.6 eV/f.u.